Record 1
Material: LiCd2Au
Method: DFT, PBE
State: optimized geometry

Summary:
Calculated density (g/cm3): 8.4
Relative energy among the computed polymorphs (eV/atom): 0.127
Electronic total energy (eV/atom): -1.965
Space group: P6_3/mmc

abc: 4.6682 4.6682 8.9804
angles: 90.00 90.00 120.00
Closest atoms and distances in Å follow each position.
Positions (direct):
Au  0.0000  0.0000  0.0000  6 Cd 2.82
Au  0.0000  0.0000  0.5000  6 Cd 2.82
Cd  0.6667  0.3333  0.0927  3 Au 2.82, 1 Cd 2.82, 4 Li 3.04-3.08
Cd  0.6667  0.3333  0.4073  3 Au 2.82, 1 Cd 2.82, 4 Li 3.04-3.08
Cd  0.3333  0.6667  0.5927  3 Au 2.82, 1 Cd 2.82, 4 Li 3.04-3.08
Cd  0.3333  0.6667  0.9073  3 Au 2.82, 1 Cd 2.82, 4 Li 3.04-3.08
Li  0.3333  0.6667  0.2500  8 Cd 3.04-3.08
Li  0.6667  0.3333  0.7500  8 Cd 3.04-3.08

---

Record 2
Material: LiCd2Au
Method: DFT, PBE
State: optimized geometry

Summary:
Calculated density (g/cm3): 9.9
Relative energy among the computed polymorphs (eV/atom): 0.005
Electronic total energy (eV/atom): -2.087
Space group: I4/mmm

abc: 4.6680 6.6279 14.0136
angles: 90.00 90.00 90.00
Closest atoms and distances in Å follow each position.
Positions (direct):
Au  0.0000  0.0000  0.0000  8 Cd 2.86
Au  0.4997  0.5000  0.1666  8 Cd 2.86
Au  0.9997  0.0000  0.3334  8 Cd 2.86
Au  0.5000  0.5000  0.5000  8 Cd 2.86
Au  0.0003  0.0000  0.6666  8 Cd 2.86
Au  0.5003  0.5000  0.8334  8 Cd 2.86
Cd  0.5000  0.2501  0.0000  4 Li 2.86, 4 Au 2.86
Cd  0.5000  0.7499  0.0000  4 Li 2.86, 4 Au 2.86
Cd  0.9996  0.2498  0.1667  4 Li 2.86, 4 Au 2.86
Cd  0.9996  0.7502  0.1667  4 Li 2.86, 4 Au 2.86
Cd  0.4996  0.2502  0.3333  4 Li 2.86, 4 Au 2.86
Cd  0.4996  0.7498  0.3333  4 Li 2.86, 4 Au 2.86
Cd  0.0000  0.2499  0.5000  4 Li 2.86, 4 Au 2.86
Cd  0.0000  0.7501  0.5000  4 Li 2.86, 4 Au 2.86
Cd  0.5004  0.2502  0.6667  4 Li 2.86, 4 Au 2.86
Cd  0.5004  0.7498  0.6667  4 Li 2.86, 4 Au 2.86
Cd  0.0004  0.2498  0.8333  4 Li 2.86, 4 Au 2.86
Cd  0.0004  0.7502  0.8333  4 Li 2.86, 4 Au 2.86
Li  0.0000  0.5000  0.0000  8 Cd 2.86
Li  0.4997  0.0000  0.1667  8 Cd 2.86
Li  0.9997  0.5000  0.3333  8 Cd 2.86
Li  0.5000  0.0000  0.5000  8 Cd 2.86
Li  0.0003  0.5000  0.6667  8 Cd 2.86
Li  0.5003  0.0000  0.8333  8 Cd 2.86

---

Record 3
Material: LiCd2Au
Method: DFT, PBE
State: optimized geometry

Summary:
Calculated density (g/cm3): 9.6
Relative energy among the computed polymorphs (eV/atom): 0.067
Electronic total energy (eV/atom): -2.024
Space group: P4/mmm

abc: 3.4750 3.4750 6.1618
angles: 90.00 90.00 90.00
Closest atoms and distances in Å follow each position.
Positions (direct):
Au  0.0000  0.0000  0.5000  8 Cd 2.92, 2 Li 3.08
Cd  0.5000  0.5000  0.2436  4 Li 2.88, 4 Au 2.92, 2 Cd 3.00-3.16
Cd  0.5000  0.5000  0.7564  4 Li 2.88, 4 Au 2.92, 2 Cd 3.00-3.16
Li  0.0000  0.0000  0.0000  8 Cd 2.88, 2 Au 3.08

---

Record 4
Material: LiCdAu2
Method: DFT, PBE
State: optimized geometry

Summary:
Calculated density (g/cm3): 12.1
Electronic total energy (eV/atom): -2.722
Space group: P4/mmm

abc: 4.1894 4.1894 4.0061
angles: 90.00 90.00 90.00
Closest atoms and distances in Å follow each position.
Positions (direct):
Au  0.5000  0.0000  0.5000  4 Cd 2.90, 4 Li 2.90, 4 Au 2.96
Au  0.0000  0.5000  0.5000  4 Cd 2.90, 4 Li 2.90, 4 Au 2.96
Cd  0.0000  0.0000  0.0000  8 Au 2.90, 4 Li 2.96
Li  0.5000  0.5000  0.0000  8 Au 2.90, 4 Cd 2.96

---

Record 5
Material: LiCd2Au
Method: DFT, PBE
State: optimized geometry

Summary:
Calculated density (g/cm3): 9.1
Relative energy among the computed polymorphs (eV/atom): 0.123
Electronic total energy (eV/atom): -1.969
Space group: Cmcm

abc: 4.4811 9.0191 7.7654
angles: 90.00 90.00 90.00
Closest atoms and distances in Å follow each position.
Positions (direct):
Au  0.0000  0.2500  0.0005  3 Li 2.59
Au  0.5000  0.7500  0.4995  3 Li 2.59
Au  0.5000  0.2500  0.5005  3 Li 2.59
Au  0.0000  0.7500  0.9995  3 Li 2.59
Cd  0.5000  0.5822  0.1664  4 Cd 2.98-3.03, 4 Li 3.00, 3 Au 3.00
Cd  0.5000  0.9178  0.1664  4 Cd 2.98-3.03, 4 Li 3.00, 3 Au 3.00
Cd  0.0000  0.0822  0.3336  4 Cd 2.98-3.03, 4 Li 3.00, 3 Au 3.00
Cd  0.0000  0.4178  0.3336  4 Cd 2.98-3.03, 4 Li 3.00, 3 Au 3.00
Cd  0.0000  0.5822  0.6664  4 Cd 2.98-3.03, 4 Li 3.00, 3 Au 3.00
Cd  0.0000  0.9178  0.6664  4 Cd 2.98-3.03, 4 Li 3.00, 3 Au 3.00
Cd  0.5000  0.0822  0.8336  4 Cd 2.98-3.03, 4 Li 3.00, 3 Au 3.00
Cd  0.5000  0.4178  0.8336  4 Cd 2.98-3.03, 4 Li 3.00, 3 Au 3.00
Li  0.5000  0.2500  0.1672  3 Au 2.59
Li  0.0000  0.7500  0.3328  3 Au 2.59
Li  0.0000  0.2500  0.6672  3 Au 2.59
Li  0.5000  0.7500  0.8328  3 Au 2.59

---

Record 6
Material: LiCd2Au
Method: DFT, PBE
State: optimized geometry

Summary:
Calculated density (g/cm3): 9.0
Relative energy among the computed polymorphs (eV/atom): 0.138
Electronic total energy (eV/atom): -1.954
Space group: P6_3/mmc

abc: 4.6543 4.6543 8.3936
angles: 90.00 90.00 120.00
Closest atoms and distances in Å follow each position.
Positions (direct):
Au  0.3333  0.6667  0.2500  8 Cd 2.82-3.02
Au  0.6667  0.3333  0.7500  8 Cd 2.82-3.02
Cd  0.6667  0.3333  0.0860  4 Cd 2.75-3.05, 3 Li 2.78, 4 Au 2.82-3.02
Cd  0.6667  0.3333  0.4140  4 Cd 2.75-3.05, 3 Li 2.78, 4 Au 2.82-3.02
Cd  0.3333  0.6667  0.5860  4 Cd 2.75-3.05, 3 Li 2.78, 4 Au 2.82-3.02
Cd  0.3333  0.6667  0.9140  4 Cd 2.75-3.05, 3 Li 2.78, 4 Au 2.82-3.02
Li  0.0000  0.0000  0.0000  6 Cd 2.78
Li  0.0000  0.0000  0.5000  6 Cd 2.78